[1]
Computed, not measured: an optimized crystal structure of PmZrGaHg at the PBE-GGA level of DFT.

Properties
Crystal system: cubic
ΔE_f (eV per atom): -0.330
SG: F-43m

abc: 5.0921 5.0921 5.0921
angles: 60.00 60.00 60.00
Sites, in units of the cell vectors:
Pm  0.0000  0.0000  0.0000
Zr  0.5000  0.5000  0.5000
Ga  0.7500  0.7500  0.7500
Hg  0.2500  0.2500  0.2500

[2]
Computed, not measured: an optimized crystal structure of Pr4Ga2Hg at the PBE-GGA level of DFT.

Properties
Crystal system: trigonal
ΔE_f (eV per atom): -0.396
Energy above the most stable polymorph in this dataset (meV/atom): 0
SG: R-3m

abc: 8.9781 8.9781 8.9781
angles: 34.30 34.30 34.30
Sites, in units of the cell vectors:
Pr  0.1173  0.1173  0.1173
Pr  0.3697  0.3697  0.3697
Pr  0.6303  0.6303  0.6303
Pr  0.8827  0.8827  0.8827
Ga  0.2472  0.2472  0.2472
Ga  0.7528  0.7528  0.7528
Hg  0.5000  0.5000  0.5000

[3]
Computed, not measured: an optimized crystal structure of PrGaHg2 at the PBE-GGA level of DFT.

Properties
Crystal system: trigonal
ΔE_f (eV per atom): 0.122
SG: R-3m

abc: 11.1478 11.1478 11.1478
angles: 17.73 17.73 17.73
Sites, in units of the cell vectors:
Pr  0.0000  0.0000  0.0000
Ga  0.5000  0.5000  0.5000
Hg  0.0963  0.0963  0.0963
Hg  0.9037  0.9037  0.9037

[4]
Computed, not measured: an optimized crystal structure of Pr4GaHg3 at the PBE-GGA level of DFT.

Properties
Crystal system: tetragonal
ΔE_f (eV per atom): -0.486
SG: P4/mmm

abc: 3.8112 3.8112 15.4805
angles: 90.00 90.00 90.00
Sites, in units of the cell vectors:
Pr  0.0000  0.0000  0.1156
Pr  0.0000  0.0000  0.3720
Pr  0.0000  0.0000  0.6280
Pr  0.0000  0.0000  0.8844
Ga  0.5000  0.5000  0.0000
Hg  0.5000  0.5000  0.2443
Hg  0.5000  0.5000  0.5000
Hg  0.5000  0.5000  0.7557

[5]
Computed, not measured: an optimized crystal structure of Pr4Ga3Hg at the PBE-GGA level of DFT.

Properties
Crystal system: tetragonal
ΔE_f (eV per atom): -0.514
SG: P4/mmm

abc: 5.3206 5.3206 7.5729
angles: 90.00 90.00 90.00
Sites, in units of the cell vectors:
Pr  0.0000  0.5000  0.2441
Pr  0.0000  0.5000  0.7559
Pr  0.5000  0.0000  0.2441
Pr  0.5000  0.0000  0.7559
Ga  0.0000  0.0000  0.0000
Ga  0.0000  0.0000  0.5000
Ga  0.5000  0.5000  0.0000
Hg  0.5000  0.5000  0.5000

[6]
Computed, not measured: an optimized crystal structure of Pr2GaHg8 at the PBE-GGA level of DFT.

Properties
Crystal system: tetragonal
ΔE_f (eV per atom): -0.277
SG: P4/mmm

abc: 4.7474 4.7474 12.6175
angles: 90.00 90.00 90.00
Sites, in units of the cell vectors:
Pr  0.0000  0.0000  0.1924
Pr  0.0000  0.0000  0.8076
Ga  0.0000  0.0000  0.5000
Hg  0.0000  0.5000  0.0000
Hg  0.0000  0.5000  0.3717
Hg  0.0000  0.5000  0.6283
Hg  0.5000  0.0000  0.0000
Hg  0.5000  0.0000  0.3717
Hg  0.5000  0.0000  0.6283
Hg  0.5000  0.5000  0.1930
Hg  0.5000  0.5000  0.8070

[7]
Computed, not measured: an optimized crystal structure of Pr6GaHg5 at the PBE-GGA level of DFT.

Properties
Crystal system: monoclinic
ΔE_f (eV per atom): -0.480
SG: C2/m

abc: 9.4099 9.4099 5.4222
angles: 106.62 106.62 48.45
Sites, in units of the cell vectors:
Pr  0.0823  0.5915  0.3368
Pr  0.2412  0.7588  0.0000
Pr  0.4085  0.9177  0.6632
Pr  0.5915  0.0823  0.3368
Pr  0.7588  0.2412  0.0000
Pr  0.9177  0.4085  0.6632
Ga  0.0000  0.0000  0.5000
Hg  0.1713  0.1713  0.1713
Hg  0.3336  0.3336  0.8334
Hg  0.5000  0.5000  0.5000
Hg  0.6664  0.6664  0.1666
Hg  0.8287  0.8287  0.8287

[8]
Computed, not measured: an optimized crystal structure of PrGaHg at the PBE-GGA level of DFT.

Properties
Crystal system: tetragonal
ΔE_f (eV per atom): -0.283
Energy above the most stable polymorph in this dataset (meV/atom): 249
SG: I4/mmm

abc: 8.4828 8.4828 8.4828
angles: 94.67 94.67 146.84
Sites, in units of the cell vectors:
Pr  0.0000  0.2201  0.2201
Pr  0.0000  0.7799  0.7799
Pr  0.2201  0.0000  0.2201
Pr  0.7799  0.0000  0.7799
Ga  0.2945  0.2945  0.5890
Ga  0.2945  0.7055  0.0000
Ga  0.7055  0.2945  0.0000
Ga  0.7055  0.7055  0.4110
Hg  0.1259  0.5000  0.6259
Hg  0.5000  0.1259  0.6259
Hg  0.5000  0.8741  0.3741
Hg  0.8741  0.5000  0.3741

[9]
Computed, not measured: an optimized crystal structure of PrGaHg2 at the PBE-GGA level of DFT.

Properties
Crystal system: orthorhombic
ΔE_f (eV per atom): -0.400
SG: Pmmn

abc: 4.7878 6.4619 6.3083
angles: 90.00 90.00 90.00
Sites, in units of the cell vectors:
Pr  0.2500  0.2500  0.1050
Pr  0.7500  0.7500  0.8950
Ga  0.2500  0.7500  0.2413
Ga  0.7500  0.2500  0.7587
Hg  0.2500  0.5064  0.6519
Hg  0.2500  0.9936  0.6519
Hg  0.7500  0.0064  0.3481
Hg  0.7500  0.4936  0.3481

[10]
Computed, not measured: an optimized crystal structure of Pr4GaHg at the PBE-GGA level of DFT.

Properties
Crystal system: tetragonal
ΔE_f (eV per atom): -0.168
Energy above the most stable polymorph in this dataset (meV/atom): 0
SG: P4/mmm

abc: 5.2096 5.2096 7.4253
angles: 90.00 90.00 90.00
Sites, in units of the cell vectors:
Pr  0.0000  0.5000  0.2412
Pr  0.0000  0.5000  0.7588
Pr  0.5000  0.0000  0.2412
Pr  0.5000  0.0000  0.7588
Ga  0.0000  0.0000  0.0000
Hg  0.5000  0.5000  0.5000

[11]
Computed, not measured: an optimized crystal structure of PrGaHg at the PBE-GGA level of DFT.

Properties
Crystal system: tetragonal
ΔE_f (eV per atom): -0.343
Energy above the most stable polymorph in this dataset (meV/atom): 189
SG: I4mm

abc: 6.2973 6.2973 6.2973
angles: 146.83 146.83 47.62
Sites, in units of the cell vectors:
Pr  0.0000  0.0000  0.0000
Ga  0.6729  0.6729  0.0000
Hg  0.3126  0.3126  0.0000

[12]
Computed, not measured: an optimized crystal structure of Pr5Ga2Hg2 at the PBE-GGA level of DFT.

Properties
Crystal system: orthorhombic
ΔE_f (eV per atom): -0.456
SG: Cmce

abc: 9.3211 9.3211 7.8905
angles: 90.00 90.00 50.93
Sites, in units of the cell vectors:
Pr  0.0000  0.0000  0.0000
Pr  0.0527  0.6802  0.6770
Pr  0.1802  0.5527  0.1771
Pr  0.3198  0.9473  0.6770
Pr  0.4473  0.8198  0.1771
Pr  0.5000  0.5000  0.5000
Pr  0.5527  0.1802  0.8230
Pr  0.6802  0.0527  0.3230
Pr  0.8198  0.4473  0.8230
Pr  0.9473  0.3198  0.3230
Ga  0.1152  0.8848  0.3847
Ga  0.3848  0.6152  0.8847
Ga  0.6152  0.3848  0.1153
Ga  0.8848  0.1152  0.6153
Hg  0.2166  0.2166  0.0000
Hg  0.2834  0.2834  0.5000
Hg  0.7166  0.7166  0.5000
Hg  0.7834  0.7834  0.0000

[13]
Computed, not measured: an optimized crystal structure of PrGaHg at the PBE-GGA level of DFT.

Properties
Crystal system: trigonal
ΔE_f (eV per atom): -0.521
Energy above the most stable polymorph in this dataset (meV/atom): 11
SG: P3m1

abc: 4.7488 4.7488 3.7839
angles: 90.00 90.00 120.00
Sites, in units of the cell vectors:
Pr  0.0000  0.0000  0.0000
Ga  0.6667  0.3333  0.5030
Hg  0.3333  0.6667  0.4992

[14]
Computed, not measured: an optimized crystal structure of PrGaHg at the PBE-GGA level of DFT.

Properties
Crystal system: monoclinic
ΔE_f (eV per atom): -0.532
Energy above the most stable polymorph in this dataset (meV/atom): 0
SG: C2/m

abc: 6.0440 6.0440 7.5899
angles: 128.42 128.42 45.88
Sites, in units of the cell vectors:
Pr  0.0372  0.0372  0.2904
Pr  0.9628  0.9628  0.7096
Ga  0.3461  0.3461  0.8767
Ga  0.6539  0.6539  0.1233
Hg  0.3265  0.3265  0.2664
Hg  0.6735  0.6735  0.7336

[15]
Computed, not measured: an optimized crystal structure of Pr3GaHg at the PBE-GGA level of DFT.

Properties
Crystal system: orthorhombic
ΔE_f (eV per atom): -0.372
Energy above the most stable polymorph in this dataset (meV/atom): 0
SG: Cmcm

abc: 10.3004 10.3004 5.4493
angles: 90.00 90.00 149.54
Sites, in units of the cell vectors:
Pr  0.0592  0.9408  0.7500
Pr  0.2465  0.7535  0.7500
Pr  0.4309  0.5691  0.7500
Pr  0.5691  0.4309  0.2500
Pr  0.7535  0.2465  0.2500
Pr  0.9408  0.0592  0.2500
Ga  0.1538  0.8462  0.2500
Ga  0.8462  0.1538  0.7500
Hg  0.3463  0.6537  0.2500
Hg  0.6537  0.3463  0.7500

[16]
Computed, not measured: an optimized crystal structure of Pr4Ga2Hg5 at the PBE-GGA level of DFT.

Properties
Crystal system: monoclinic
ΔE_f (eV per atom): -0.453
SG: P2/m

abc: 7.9732 3.9538 9.4773
angles: 90.00 90.24 90.00
Sites, in units of the cell vectors:
Pr  0.2010  0.0000  0.1419
Pr  0.2486  0.0000  0.5928
Pr  0.7514  0.0000  0.4072
Pr  0.7990  0.0000  0.8581
Ga  0.0631  0.5000  0.3763
Ga  0.9369  0.5000  0.6237
Hg  0.1415  0.5000  0.8690
Hg  0.4275  0.5000  0.3424
Hg  0.5000  0.5000  0.0000
Hg  0.5725  0.5000  0.6576
Hg  0.8585  0.5000  0.1310

[17]
Computed, not measured: an optimized crystal structure of Pr5Ga4Hg at the PBE-GGA level of DFT.

Properties
Crystal system: tetragonal
ΔE_f (eV per atom): -0.530
SG: P4/mmm

abc: 3.7218 3.7218 19.1029
angles: 90.00 90.00 90.00
Sites, in units of the cell vectors:
Pr  0.0000  0.0000  0.0000
Pr  0.0000  0.0000  0.1950
Pr  0.0000  0.0000  0.3904
Pr  0.0000  0.0000  0.6096
Pr  0.0000  0.0000  0.8050
Ga  0.5000  0.5000  0.0974
Ga  0.5000  0.5000  0.2952
Ga  0.5000  0.5000  0.7048
Ga  0.5000  0.5000  0.9026
Hg  0.5000  0.5000  0.5000

[18]
Computed, not measured: an optimized crystal structure of Pr3GaHg at the PBE-GGA level of DFT.

Properties
Crystal system: monoclinic
ΔE_f (eV per atom): -0.363
Energy above the most stable polymorph in this dataset (meV/atom): 9
SG: P2_1/c

abc: 13.0144 6.4697 7.1071
angles: 90.00 99.38 90.00
Sites, in units of the cell vectors:
Pr  0.0406  0.1076  0.2200
Pr  0.0406  0.3924  0.7200
Pr  0.2073  0.6318  0.0819
Pr  0.2073  0.8682  0.5819
Pr  0.3966  0.1368  0.3073
Pr  0.3966  0.3632  0.8073
Pr  0.6034  0.6368  0.1927
Pr  0.6034  0.8632  0.6927
Pr  0.7927  0.1318  0.4181
Pr  0.7927  0.3682  0.9181
Pr  0.9594  0.6076  0.2800
Pr  0.9594  0.8924  0.7800
Ga  0.2120  0.1282  0.9710
Ga  0.2120  0.3718  0.4710
Ga  0.7880  0.6282  0.5290
Ga  0.7880  0.8718  0.0290
Hg  0.4035  0.6428  0.4221
Hg  0.4035  0.8572  0.9221
Hg  0.5965  0.1428  0.0779
Hg  0.5965  0.3572  0.5779

[19]
Computed, not measured: an optimized crystal structure of PrGaHg2 at the PBE-GGA level of DFT.

Properties
Crystal system: tetragonal
ΔE_f (eV per atom): -0.378
SG: P4/mmm

abc: 4.4897 4.4897 4.9172
angles: 90.00 90.00 90.00
Sites, in units of the cell vectors:
Pr  0.0000  0.0000  0.0000
Ga  0.5000  0.5000  0.0000
Hg  0.0000  0.5000  0.5000
Hg  0.5000  0.0000  0.5000

[20]
Computed, not measured: an optimized crystal structure of PrGaHg2 at the PBE-GGA level of DFT.

Properties
Crystal system: tetragonal
ΔE_f (eV per atom): -0.267
SG: P4/mmm

abc: 3.7188 3.7188 7.1983
angles: 90.00 90.00 90.00
Sites, in units of the cell vectors:
Pr  0.0000  0.0000  0.0000
Ga  0.0000  0.0000  0.5000
Hg  0.5000  0.5000  0.2769
Hg  0.5000  0.5000  0.7231

[21]
Computed, not measured: an optimized crystal structure of PrGaHg at the PBE-GGA level of DFT.

Properties
Crystal system: cubic
ΔE_f (eV per atom): -0.438
Energy above the most stable polymorph in this dataset (meV/atom): 94
SG: F-43m

abc: 4.8352 4.8352 4.8352
angles: 60.00 60.00 60.00
Sites, in units of the cell vectors:
Pr  0.0000  0.0000  0.0000
Ga  0.2500  0.2500  0.2500
Hg  0.5000  0.5000  0.5000

[22]
Computed, not measured: an optimized crystal structure of Pr6Ga2Hg at the PBE-GGA level of DFT.

Properties
Crystal system: monoclinic
ΔE_f (eV per atom): -0.265
SG: P2_1/c

abc: 6.6532 8.5653 11.3344
angles: 90.00 119.59 90.00
Sites, in units of the cell vectors:
Pr  0.0617  0.0547  0.2191
Pr  0.0617  0.4453  0.7191
Pr  0.1735  0.6989  0.0701
Pr  0.1735  0.8011  0.5701
Pr  0.4151  0.1517  0.0605
Pr  0.4151  0.3483  0.5605
Pr  0.5849  0.6517  0.4395
Pr  0.5849  0.8483  0.9395
Pr  0.8265  0.1989  0.4299
Pr  0.8265  0.3011  0.9299
Pr  0.9383  0.5547  0.2809
Pr  0.9383  0.9453  0.7809
Ga  0.3130  0.1242  0.7424
Ga  0.3130  0.3758  0.2424
Ga  0.6870  0.6242  0.7576
Ga  0.6870  0.8758  0.2576
Hg  0.5000  0.0000  0.5000
Hg  0.5000  0.5000  0.0000

[23]
Computed, not measured: an optimized crystal structure of Pr2Ga2Hg at the PBE-GGA level of DFT.

Properties
Crystal system: monoclinic
ΔE_f (eV per atom): -0.553
SG: C2/m

abc: 6.0871 6.0871 11.0291
angles: 115.65 115.65 44.83
Sites, in units of the cell vectors:
Pr  0.0095  0.0095  0.3252
Pr  0.1820  0.1820  0.0961
Pr  0.8180  0.8180  0.9039
Pr  0.9905  0.9905  0.6748
Ga  0.3684  0.3684  0.4379
Ga  0.4754  0.4754  0.1094
Ga  0.5246  0.5246  0.8906
Ga  0.6316  0.6316  0.5621
Hg  0.2756  0.2756  0.6542
Hg  0.7244  0.7244  0.3458